Entry 1:
A geometry-optimized AcLa5Dy4 structure, computed with PBE.

Calculated values
formation enthalpy at 0 K = 0.0289 eV per atom

Lattice parameters (Å, degrees): 3.7420 3.7420 25.4294 90.00 90.00 90.00
Element x y z (fractional)
La (0.5000, 0.5000, 0.3061)
La (0.5000, 0.5000, 0.8896)
La (0.5000, 0.5000, 0.5000)
La (0.5000, 0.5000, 0.1104)
La (0.5000, 0.5000, 0.6939)
Dy (0.0000, 0.0000, 0.2088)
Dy (0.0000, 0.0000, 0.7912)
Dy (0.0000, 0.0000, 0.4030)
Dy (0.0000, 0.0000, 0.5970)
Ac (0.0000, 0.0000, 0.0000)

***

Entry 2:
A geometry-optimized SbOs structure, computed with PBE.

Calculated values
formation energy without anion corrections = 0.9406 eV per atom

Lattice parameters (Å, degrees): 6.6501 6.6501 4.7457 90.00 90.00 90.00
Element x y z (fractional)
Os (0.6226, 0.6226, 0.0000)
Os (0.1226, 0.8774, 0.5000)
Os (0.3774, 0.3774, 0.0000)
Os (0.8774, 0.1226, 0.5000)
Sb (0.7347, 0.7347, 0.5000)
Sb (0.7653, 0.2347, 0.0000)
Sb (0.2653, 0.2653, 0.5000)
Sb (0.2347, 0.7653, 0.0000)

***

Entry 3:
A geometry-optimized ZrMoRu structure, computed with PBE.

Calculated values
formation enthalpy at 0 K = 0.9845 eV per atom
E above lowest polymorph = 1197.8 meV per atom

Lattice parameters (Å, degrees): 4.4067 4.4067 4.4067 60.00 60.00 60.00
Each line ends with the local moment (μB).
Element x y z (fractional)
Zr (0.7500, 0.7500, 0.7500)  0.08
Ru (0.5000, 0.5000, 0.5000)  0.29
Mo (0.0000, 0.0000, 0.0000)  1.58

***

Entry 4:
A geometry-optimized Ce3GaSi2Rh9 structure, computed with PBE.

Calculated values
formation energy without anion corrections = -0.5940 eV per atom

Lattice parameters (Å, degrees): 5.6627 5.6627 10.2098 90.00 90.00 120.00
Element x y z (fractional)
Ce (0.6667, 0.3333, 0.3556)
Ce (0.0000, 0.0000, 0.0000)
Ce (0.3333, 0.6667, 0.6444)
Rh (0.5000, 0.0000, 0.0000)
Rh (0.3263, 0.1631, 0.6846)
Rh (0.8369, 0.6737, 0.6846)
Rh (0.0000, 0.5000, 0.0000)
Rh (0.1631, 0.3263, 0.3154)
Rh (0.5000, 0.5000, 0.0000)
Rh (0.6737, 0.8369, 0.3154)
Rh (0.1631, 0.8369, 0.3154)
Rh (0.8369, 0.1631, 0.6846)
Ga (0.0000, 0.0000, 0.5000)
Si (0.6667, 0.3333, 0.8381)
Si (0.3333, 0.6667, 0.1619)